Record 1
Computed, not measured: an optimized crystal structure of TiNi3Pt6 at the PBE level of DFT.

extended XYZ file:
```
20
Lattice="8.452 0.000 0.000 0.000 3.888 0.000 -0.365 0.000 8.731" Properties=species:S:1:pos:R:3 pbc="T T T"
Ti 0.388 0.972 3.354
Ti 7.700 2.916 5.377
Ni 1.800 0.972 8.715
Ni 2.659 2.916 7.045
Ni 3.564 0.972 5.293
Ni 4.524 2.916 3.438
Ni 5.428 0.972 1.686
Ni 6.287 2.916 0.016
Pt 0.161 2.916 7.869
Pt 1.000 0.972 6.083
Pt 1.242 2.916 1.795
Pt 1.954 2.916 4.443
Pt 2.980 0.972 2.701
Pt 3.819 2.916 0.871
Pt 4.269 0.972 7.860
Pt 5.107 2.916 6.029
Pt 6.133 0.972 4.288
Pt 6.846 0.972 6.936
Pt 7.087 2.916 2.647
Pt 7.926 0.972 0.862
```

Computed properties:
Magnetization in μB per cell: 5.64
Raw total energy in eV per cell: -130.10
Crystal system: monoclinic

Record 2
Computed, not measured: an optimized crystal structure of TiNi7Pt2 at the PBE level of DFT.

extended XYZ file:
```
10
Lattice="4.050 -6.742 0.000 4.050 6.742 0.000 0.000 0.000 2.580" Properties=species:S:1:pos:R:3 pbc="T T T"
Ti 0.000 0.000 0.000
Ni 2.037 1.220 1.290
Ni 2.037 -1.220 1.290
Ni 4.050 2.038 0.000
Ni 4.050 0.000 1.290
Ni 4.050 -2.038 0.000
Ni 6.063 1.220 1.290
Ni 6.063 -1.220 1.290
Pt 4.050 4.179 1.290
Pt 4.050 -4.179 1.290
```

Computed properties:
Magnetization in μB per cell: 4.30
Raw total energy in eV per cell: -59.00
Crystal system: orthorhombic

Record 3
Computed, not measured: an optimized crystal structure of TiNi2Pt2 at the PBE level of DFT.

extended XYZ file:
```
5
Lattice="-1.673 1.673 6.593 1.673 -1.673 6.593 1.673 1.673 -6.593" Properties=species:S:1:pos:R:3 pbc="T T T"
Ti 0.000 0.000 0.000
Ni 1.673 0.000 3.297
Ni 0.000 1.673 3.297
Pt 0.000 0.000 5.258
Pt 0.000 0.000 7.929
```

Computed properties:
Magnetization in μB per cell: 0.00
ΔE to the lowest computed polymorph in meV/atom: 193
Raw total energy in eV per cell: -33.18
Crystal system: tetragonal

Record 4
Computed, not measured: an optimized crystal structure of TiNi3Pt at the PBE level of DFT.

extended XYZ file:
```
5
Lattice="4.220 0.000 0.000 0.000 4.220 0.000 0.000 0.000 4.220" Properties=species:S:1:pos:R:3 pbc="T T T"
Ti 0.000 0.000 0.000
Ni 0.000 0.000 2.110
Ni 0.000 2.110 0.000
Ni 2.110 0.000 0.000
Pt 2.110 2.110 2.110
```

Computed properties:
Magnetization in μB per cell: 0.00
ΔE to the lowest computed polymorph in meV/atom: 1263
Raw total energy in eV per cell: -27.09
Crystal system: cubic

Record 5
Computed, not measured: an optimized crystal structure of Ti2Ni5Pt2 at the PBE level of DFT.

extended XYZ file:
```
18
Lattice="-7.275 3.567 2.337 7.275 -3.567 2.337 7.275 3.567 -2.337" Properties=species:S:1:pos:R:3 pbc="T T T"
Ti 1.057 0.810 0.000
Ti 6.218 0.810 0.000
Ti 1.057 2.758 2.337
Ti 6.218 2.758 2.337
Ni 8.655 1.757 -1.147
Ni 5.894 -1.810 1.190
Ni 3.637 0.277 -0.004
Ni 2.444 2.560 0.002
Ni 4.831 2.560 0.002
Ni -1.380 1.810 1.190
Ni 8.655 1.810 1.190
Ni 2.444 1.008 2.339
Ni 4.831 1.008 2.339
Ni 3.637 3.290 2.333
Pt 3.637 -1.199 2.341
Pt 0.000 0.000 2.326
Pt 7.275 0.000 2.326
Pt 3.637 4.766 0.003
```

Computed properties:
Magnetization in μB per cell: 0.00
Raw total energy in eV per cell: -118.07
Crystal system: orthorhombic

Record 6
Computed, not measured: an optimized crystal structure of Ti7Ni5Pt at the PBE level of DFT.

extended XYZ file:
```
13
Lattice="-2.461 4.298 4.432 2.461 -4.298 4.432 2.461 4.298 -4.432" Properties=species:S:1:pos:R:3 pbc="T T T"
Ti 0.000 0.000 0.000
Ti 2.461 1.636 0.455
Ti 0.000 0.000 3.137
Ti 0.000 2.929 0.163
Ti 0.000 5.666 0.163
Ti 0.000 4.298 2.587
Ti 0.000 2.662 4.887
Ni 1.230 2.088 -1.855
Ni 3.693 2.088 -1.855
Ni 2.461 0.000 2.334
Ni -1.232 2.210 2.577
Ni 1.232 2.210 2.577
Pt 0.000 0.000 5.736
```

Computed properties:
Magnetization in μB per cell: 0.00
Raw total energy in eV per cell: -95.12
Crystal system: orthorhombic

Record 7
Computed, not measured: an optimized crystal structure of TiNi4Pt2 at the PBE level of DFT.

extended XYZ file:
```
14
Lattice="6.670 0.000 0.000 0.000 6.670 0.000 0.000 0.000 4.303" Properties=species:S:1:pos:R:3 pbc="T T T"
Ti 0.000 0.000 0.000
Ti 3.335 3.335 2.151
Ni 0.662 2.408 0.000
Ni 0.927 3.997 2.151
Ni 2.408 0.662 0.000
Ni 2.674 5.743 2.151
Ni 3.997 0.927 2.151
Ni 4.262 6.009 0.000
Ni 5.743 2.674 2.151
Ni 6.009 4.262 0.000
Pt 1.271 1.271 2.151
Pt 2.064 4.606 0.000
Pt 4.606 2.064 0.000
Pt 5.399 5.399 2.151
```

Computed properties:
Magnetization in μB per cell: 0.95
ΔE to the lowest computed polymorph in meV/atom: 0
Raw total energy in eV per cell: -88.95
Crystal system: tetragonal

Record 8
Computed, not measured: an optimized crystal structure of Ti5NiPt at the PBE level of DFT.

extended XYZ file:
```
14
Lattice="4.477 -3.045 0.000 4.477 3.045 0.000 -3.872 0.000 8.593" Properties=species:S:1:pos:R:3 pbc="T T T"
Ti 1.573 2.828 6.445
Ti -0.674 1.442 6.998
Ti 1.357 0.761 4.247
Ti 3.821 1.442 5.891
Ti -0.579 -0.761 8.544
Ti 5.662 0.761 0.049
Ti 1.262 -1.442 2.702
Ti 3.726 -0.761 4.346
Ti 5.757 -1.442 1.595
Ti 3.509 -2.828 2.148
Ni 0.000 0.000 0.000
Ni -1.936 0.000 4.296
Pt 3.509 0.440 2.148
Pt 1.573 -0.440 6.445
```

Computed properties:
Magnetization in μB per cell: 0.00
Raw total energy in eV per cell: -104.58
Crystal system: monoclinic

Record 9
Computed, not measured: an optimized crystal structure of TiNi4Pt3 at the PBE level of DFT.

extended XYZ file:
```
8
Lattice="-1.902 1.902 7.304 1.902 -1.902 7.304 1.902 1.902 -7.304" Properties=species:S:1:pos:R:3 pbc="T T T"
Ti 0.000 0.000 0.000
Ni 1.902 0.000 1.791
Ni 1.902 0.000 5.512
Ni 0.000 1.902 1.791
Ni 0.000 1.902 5.512
Pt 0.000 0.000 3.699
Pt 0.000 0.000 7.304
Pt 0.000 0.000 10.909
```

Computed properties:
Magnetization in μB per cell: 0.00
Raw total energy in eV per cell: -52.17
Crystal system: tetragonal

Record 10
Computed, not measured: an optimized crystal structure of Ti11Ni9Pt4 at the PBE level of DFT.

extended XYZ file:
```
48
Lattice="3.733 -6.488 0.000 3.733 6.488 0.000 -2.611 0.000 14.030" Properties=species:S:1:pos:R:3 pbc="T T T"
Ti 0.561 3.244 7.015
Ti 1.775 5.413 10.523
Ti -0.198 1.078 9.099
Ti 0.679 2.937 12.099
Ti 1.895 1.041 0.004
Ti 3.080 3.205 3.508
Ti 1.107 -1.078 2.084
Ti 0.590 -1.041 7.019
Ti 2.156 0.512 4.787
Ti 2.871 2.937 8.947
Ti 0.851 -0.512 11.802
Ti 1.866 -3.244 0.000
Ti 4.004 0.512 2.228
Ti 1.984 -2.937 5.084
Ti 2.699 -0.512 9.243
Ti 4.265 1.041 7.011
Ti 3.748 1.078 11.947
Ti 1.775 -3.205 10.523
Ti 2.960 -1.041 14.026
Ti 4.176 -2.937 1.932
Ti 5.053 -1.078 4.932
Ti 3.080 -5.413 3.508
Ni 0.814 2.815 4.538
Ni -1.189 1.121 11.551
Ni 1.597 1.457 2.457
Ni 0.116 -1.121 4.535
Ni 1.814 1.104 7.304
Ni 1.775 1.567 10.523
Ni 0.292 -1.457 9.472
Ni -0.491 -2.815 11.553
Ni 1.736 1.104 13.741
Ni 3.119 -1.104 0.289
Ni 5.346 2.815 2.477
Ni 4.563 1.457 4.558
Ni 3.080 -1.567 3.508
Ni 3.041 -1.104 6.726
Ni 4.739 1.121 9.495
Ni 3.258 -1.457 11.574
Ni 6.044 -1.121 2.480
Ni 4.041 -2.815 9.493
Pt 1.809 5.402 7.887
Pt 1.741 5.402 13.159
Pt 3.092 3.262 0.884
Pt 3.069 3.262 6.131
Pt 1.786 -3.262 7.899
Pt 1.763 -3.262 13.146
Pt 3.114 -5.402 0.872
Pt 3.046 -5.402 6.144
```

Computed properties:
Magnetization in μB per cell: 0.00
Raw total energy in eV per cell: -355.19
Crystal system: monoclinic

Record 11
Computed, not measured: an optimized crystal structure of TiNi2Pt2 at the PBE level of DFT.

extended XYZ file:
```
10
Lattice="4.255 -1.872 0.000 4.255 1.872 0.000 -0.153 0.000 8.626" Properties=species:S:1:pos:R:3 pbc="T T T"
Ti 2.088 0.000 2.137
Ti 6.270 0.000 6.489
Ni 2.839 0.000 8.222
Ni 3.708 0.000 5.653
Ni 4.651 0.000 2.972
Ni 5.519 0.000 0.403
Pt 0.294 0.000 7.381
Pt 1.174 0.000 4.783
Pt 7.184 0.000 3.842
Pt 8.064 0.000 1.245
```

Computed properties:
Magnetization in μB per cell: 0.00
ΔE to the lowest computed polymorph in meV/atom: 0
Raw total energy in eV per cell: -68.29
Crystal system: monoclinic

Record 12
Computed, not measured: an optimized crystal structure of TiNi2Pt at the PBE level of DFT.

extended XYZ file:
```
8
Lattice="-1.824 1.824 8.701 1.824 -1.824 8.701 1.824 1.824 -8.701" Properties=species:S:1:pos:R:3 pbc="T T T"
Ti 0.000 0.000 0.000
Ti 0.000 1.824 4.350
Ni 0.912 -0.895 6.525
Ni 0.929 0.912 2.175
Ni 0.912 2.719 -2.175
Ni 0.895 0.912 10.876
Pt 1.824 0.000 4.350
Pt 0.000 0.000 8.701
```

Computed properties:
Magnetization in μB per cell: 0.00
Raw total energy in eV per cell: -52.27
Crystal system: tetragonal

Record 13
Computed, not measured: an optimized crystal structure of TiNi2Pt8 at the PBE level of DFT.

extended XYZ file:
```
11
Lattice="6.997 -1.963 0.000 6.997 1.963 0.000 -1.747 0.000 5.947" Properties=species:S:1:pos:R:3 pbc="T T T"
Ti 0.000 0.000 0.000
Ni 3.215 0.000 2.190
Ni 9.032 0.000 3.757
Pt 0.580 0.000 2.671
Pt 0.941 0.000 5.453
Pt 3.656 0.000 4.840
Pt 5.874 0.000 1.617
Pt 6.372 0.000 4.331
Pt 8.590 0.000 1.108
Pt 11.305 0.000 0.495
Pt 11.667 0.000 3.276
```

Computed properties:
Magnetization in μB per cell: 1.74
Raw total energy in eV per cell: -71.67
Crystal system: monoclinic

Record 14
Computed, not measured: an optimized crystal structure of Ti2Ni2Pt at the PBE level of DFT.

extended XYZ file:
```
5
Lattice="2.222 -2.909 0.000 2.222 2.909 0.000 0.000 0.000 5.799" Properties=species:S:1:pos:R:3 pbc="T T T"
Ti 0.000 0.000 1.431
Ti 0.000 0.000 4.368
Ni 2.222 1.099 2.899
Ni 2.222 -1.099 2.899
Pt 2.222 0.000 0.000
```

Computed properties:
Magnetization in μB per cell: 0.00
ΔE to the lowest computed polymorph in meV/atom: 336
Raw total energy in eV per cell: -34.89
Crystal system: orthorhombic

Record 15
Computed, not measured: an optimized crystal structure of Ti4Ni2Pt3 at the PBE level of DFT.

extended XYZ file:
```
9
Lattice="4.333 -1.925 0.000 4.333 1.925 0.000 -2.163 0.000 7.965" Properties=species:S:1:pos:R:3 pbc="T T T"
Ti -0.538 0.000 2.670
Ti 2.629 0.000 0.884
Ti 3.873 0.000 7.081
Ti 7.040 0.000 5.295
Ni 1.199 0.000 6.252
Ni 5.303 0.000 1.712
Pt 0.000 0.000 0.000
Pt 1.978 0.000 3.439
Pt 4.524 0.000 4.526
```

Computed properties:
Magnetization in μB per cell: 1.33
Raw total energy in eV per cell: -67.56
Crystal system: monoclinic

Record 16
Computed, not measured: an optimized crystal structure of Ti5Ni2Pt at the PBE level of DFT.

extended XYZ file:
```
16
Lattice="-3.144 3.144 6.271 3.144 -3.144 6.271 3.144 3.144 -6.271" Properties=species:S:1:pos:R:3 pbc="T T T"
Ti 0.000 0.000 0.000
Ti 4.159 1.015 -1.886
Ti 1.015 2.129 -1.886
Ti 4.159 1.015 1.886
Ti 1.015 2.129 1.886
Ti 0.000 0.000 6.271
Ti 2.129 1.015 4.385
Ti -1.015 2.129 4.385
Ti 2.129 1.015 8.157
Ti -1.015 2.129 8.157
Ni 2.304 0.840 0.000
Ni 2.304 -0.840 6.271
Ni 0.840 3.984 0.000
Ni 0.840 2.304 6.271
Pt 0.000 0.000 3.135
Pt 0.000 0.000 9.406
```

Computed properties:
Magnetization in μB per cell: 0.00
Raw total energy in eV per cell: -120.77
Crystal system: tetragonal

Record 17
Computed, not measured: an optimized crystal structure of Ti2NiPt4 at the PBE level of DFT.

extended XYZ file:
```
14
Lattice="6.466 0.000 0.000 0.000 5.195 0.000 -3.089 0.000 6.500" Properties=species:S:1:pos:R:3 pbc="T T T"
Ti -0.794 1.299 2.797
Ti 1.292 3.896 0.183
Ti 2.085 1.299 6.316
Ti 4.171 3.896 3.703
Ni -2.272 1.299 4.987
Ni 5.649 3.896 1.513
Pt 1.017 1.299 1.066
Pt -0.107 2.612 5.011
Pt -0.107 5.181 5.011
Pt 1.276 3.896 2.842
Pt 2.101 1.299 3.658
Pt 3.485 0.014 1.489
Pt 3.485 2.583 1.489
Pt 2.360 3.896 5.433
```

Computed properties:
Magnetization in μB per cell: 0.00
Raw total energy in eV per cell: -99.50
Crystal system: monoclinic

Record 18
Computed, not measured: an optimized crystal structure of Ti4Ni3Pt2 at the PBE level of DFT.

extended XYZ file:
```
9
Lattice="4.219 -1.929 0.000 4.219 1.929 0.000 -2.483 0.000 7.828" Properties=species:S:1:pos:R:3 pbc="T T T"
Ti -0.636 0.000 2.685
Ti 2.576 0.000 0.859
Ti 3.380 0.000 6.969
Ti 6.592 0.000 5.143
Ni 0.000 0.000 0.000
Ni 1.776 0.000 3.503
Ni 4.180 0.000 4.325
Pt 0.795 0.000 6.076
Pt 5.160 0.000 1.751
```

Computed properties:
Magnetization in μB per cell: 0.04
Raw total energy in eV per cell: -66.33
Crystal system: monoclinic

Record 19
Computed, not measured: an optimized crystal structure of TiNi2Pt2 at the PBE level of DFT.

extended XYZ file:
```
10
Lattice="7.047 0.000 0.000 0.000 7.047 0.000 0.000 0.000 2.899" Properties=species:S:1:pos:R:3 pbc="T T T"
Ti 0.000 0.000 0.000
Ti 3.524 3.524 0.000
Ni 1.119 2.405 1.449
Ni 2.405 5.929 1.449
Ni 4.642 1.119 1.449
Ni 5.929 4.642 1.449
Pt 0.987 4.510 0.000
Pt 2.537 0.987 0.000
Pt 4.510 6.060 0.000
Pt 6.060 2.537 0.000
```

Computed properties:
Magnetization in μB per cell: 0.00
ΔE to the lowest computed polymorph in meV/atom: 262
Raw total energy in eV per cell: -65.67
Crystal system: tetragonal

Record 20
Computed, not measured: an optimized crystal structure of TiNi2Pt2 at the PBE level of DFT.

extended XYZ file:
```
10
Lattice="4.200 0.000 0.000 -2.100 3.638 0.000 0.000 0.000 9.915" Properties=species:S:1:pos:R:3 pbc="T T T"
Ti 0.000 0.000 2.479
Ti 0.000 0.000 7.436
Ni 0.000 2.425 1.099
Ni 0.000 2.425 3.858
Ni 2.100 1.213 6.056
Ni 2.100 1.213 8.815
Pt 0.000 0.000 0.000
Pt 0.000 0.000 4.957
Pt 0.000 2.425 7.436
Pt 2.100 1.213 2.479
```

Computed properties:
Magnetization in μB per cell: 0.00
ΔE to the lowest computed polymorph in meV/atom: 378
Raw total energy in eV per cell: -64.52
Crystal system: hexagonal

| no. | E_form (meV/atom) |
| --- | --- |
| 1 | -356.7 |
| 2 | 144.5 |
| 3 | -328.2 |
| 4 | 837.1 |
| 5 | -250.7 |
| 6 | -377.9 |
| 7 | -195.9 |
| 8 | -141.9 |
| 9 | -378.2 |
| 10 | -606.4 |
| 11 | -521.3 |
| 12 | -159.2 |
| 13 | -353.6 |
| 14 | -299.0 |
| 15 | -699.3 |
| 16 | -413.5 |
| 17 | -573.4 |
| 18 | -591.9 |
| 19 | -259.1 |
| 20 | -143.8 |